This record from Alexandria describes a relaxed La3Pm3PuSe8 crystal. The functional is PBE.

Output
Formation energy from raw total energies ... -1.8866 eV/atom
Symmetry ... R-3m, No. 166

Unit cell a=8.5194 b=8.5194 c=8.5194 alpha=59.39 beta=59.39 gamma=59.39
Closest atoms and distances in Å follow each position.
Sites, in units of the cell vectors:
La (0.0000, 0.5000, 0.5000)  6 Se 3.03
La (0.5000, 0.0000, 0.5000)  6 Se 3.03
La (0.5000, 0.5000, 0.0000)  6 Se 3.03
Pm (0.0000, 0.0000, 0.5000)  6 Se 2.97
Pm (0.0000, 0.5000, 0.0000)  6 Se 2.97
Pm (0.5000, 0.0000, 0.0000)  6 Se 2.97
Pu (0.5000, 0.5000, 0.5000)  6 Se 2.98
Se (0.2468, 0.7483, 0.7483)  2 Pm 2.97, 1 Pu 2.98, 2 La 3.03
Se (0.2475, 0.2475, 0.2475)  3 Pm 2.97, 3 La 3.03
Se (0.2517, 0.2517, 0.7532)  2 Pm 2.97, 1 Pu 2.98, 2 La 3.03
Se (0.2517, 0.7532, 0.2517)  2 Pm 2.97, 1 Pu 2.98, 2 La 3.03
Se (0.7483, 0.2468, 0.7483)  2 Pm 2.97, 1 Pu 2.98, 2 La 3.03
Se (0.7483, 0.7483, 0.2468)  2 Pm 2.97, 1 Pu 2.98, 2 La 3.03
Se (0.7525, 0.7525, 0.7525)  3 Pm 2.97, 3 La 3.03
Se (0.7532, 0.2517, 0.2517)  2 Pm 2.97, 1 Pu 2.98, 2 La 3.03